# 1
# Sr3AlPd2

A relaxed Sr3AlPd2 crystal (PBE, Alexandria).

The structure belongs to space group P2_1/c (No. 14); the cell edges are 9.727, 7.619 and 10.409 Å and the angles 90.00°, 114.78° and 90.00°. The inequivalent atoms are Sr at (0.077, 0.161, 0.410), Sr at (0.270, 0.530, 0.688), Sr at (0.330, 0.018, 0.820), Al at (0.398, 0.629, 0.038), Pd at (0.130, 0.740, 0.915) and Pd at (0.430, 0.203, 0.584).

Its size of the total moment is 0.0 μB/f.u. The calculation puts the formation energy at -516 meV/atom. The calculation puts the energy at -89.090 eV for the cell shown.

***

# 2
# Y2PtPb

A relaxed Y2PtPb crystal (PBE, Alexandria).

The structure belongs to space group Imm2 (No. 44); the cell edges are 3.620, 4.792 and 11.850 Å and the angles 90.00°, 90.00° and 90.00°. The inequivalent atoms are Y at (0.000, 0.000, 0.000), Y at (0.000, 0.500, 0.212), Pt at (0.000, 0.000, 0.516) and Pb at (0.000, 0.500, 0.802).

Its size of the total moment is 0.0 μB/f.u. The calculation puts the formation energy at -754 meV/atom. The calculation puts the energy at -51.387 eV for the cell shown.

***

# 3
# Tl2MoH

A relaxed Tl2MoH crystal (PBE, Alexandria).

The structure belongs to space group Fm-3m (No. 225); the cell edges are 6.840, 6.840 and 6.840 Å and the angles 90.00°, 90.00° and 90.00°. The inequivalent atoms are Tl at (0.250, 0.250, 0.250), Mo at (0.000, 0.000, 0.000) and H at (0.000, 0.000, 0.500).

Its size of the total moment is 3.2 μB/f.u. For the energy relative to the lowest polymorph listed for this composition, the calculation gives 0.250 eV/atom. The calculation puts the energy at -56.545 eV for the cell shown.

***

# 4
# Rb2Tl2Hg3

A relaxed Rb2Tl2Hg3 crystal (PBE, Alexandria).

The structure belongs to space group C2/m (No. 12); the cell edges are 12.975, 5.472 and 8.365 Å and the angles 90.00°, 120.22° and 90.00°. The inequivalent atoms are Rb at (0.166, 0.000, 0.264), Tl at (0.119, 0.000, 0.730), Hg at (0.000, 0.500, 0.500) and Hg at (0.101, 0.500, 0.937).

Its size of the total moment is 0.0 μB/f.u. The calculation puts the formation energy at -146 meV/atom. For the energy relative to the lowest polymorph listed for this composition, the calculation gives 0.000 eV/atom. The calculation puts the energy at -17.186 eV for the cell shown.

***

# 5
# Th7Ru3

A relaxed Th7Ru3 crystal (PBE, Alexandria).

The structure belongs to space group P6_3mc (No. 186); the cell edges are 9.9478, 9.9478 and 6.3334 Å and the angles 90.00°, 90.00° and 120.00°. The inequivalent atoms are Th at (0.0823, 0.5412, 0.0000), Th at (0.1257, 0.2515, 0.7046), Th at (0.3333, 0.6667, 0.4935) and Ru at (0.1863, 0.3726, 0.2494).

Its size of the total moment is 0.0 μB/f.u. The calculation puts the formation energy at -408 meV/atom. The calculation puts the energy at -167.686 eV for the cell shown.

***

# 6
# Ta2CrRe

A relaxed Ta2CrRe crystal (PBE, Alexandria).

The structure belongs to space group R3m (No. 160, hexagonal axes); the cell edges are 2.9036, 2.9036 and 26.5957 Å and the angles 90.00°, 90.00° and 120.00°. The inequivalent atoms are Ta at (0.0000, 0.0000, 0.0000), Ta at (0.0000, 0.0000, 0.2408), Cr at (0.0000, 0.0000, 0.4932) and Re at (0.0000, 0.0000, 0.7542).

Its size of the total moment is 0.0 μB/f.u. The calculation puts the formation energy at 246 meV/atom. The calculation puts the energy at -134.383 eV for the cell shown.

***

# 7
# LaPm2Mn

A relaxed LaPm2Mn crystal (PBE, Alexandria).

The structure belongs to space group P4/mmm (No. 123); the cell edges are 3.642, 3.642 and 9.051 Å and the angles 90.00°, 90.00° and 90.00°. The inequivalent atoms are La at (0.000, 0.000, 0.000), Pm at (0.500, 0.500, 0.303) and Mn at (0.000, 0.000, 0.500).

Its size of the total moment is 3.4 μB/f.u. The calculation puts the formation energy at 165 meV/atom. The calculation puts the energy at -22.938 eV for the cell shown.

***

# 8
# NaMgCl3

A relaxed NaMgCl3 crystal (PBE, Alexandria).

The structure belongs to space group R-3 (No. 148, hexagonal axes); the cell edges are 6.5861, 6.5861 and 18.8445 Å and the angles 90.00°, 90.00° and 120.00°. The inequivalent atoms are Na at (0.0000, 0.0000, 0.1453), Mg at (0.0000, 0.0000, 0.3389) and Cl at (0.0096, 0.3740, 0.9238).

Its size of the total moment is 0.0 μB/f.u. For the energy relative to the lowest polymorph listed for this composition, the calculation gives 0.000 eV/atom. The calculation puts the energy at -105.632 eV for the cell shown. Its uncorrected formation energy is -1.8304 eV/atom.

***

D(E_F) list, top to bottom, in states/eV per cell: 14.0, 4.7, 8.2, 7.8, 19.2, 9.6, 6.7, 0.0